# 1
The following is a PBE-GGA calculation of an optimized crystal structure of AcZn2AgF8, from Alexandria via LeMat-Bulk.

Symmetry: P-3m1, No. 164
Formation energy from raw total energies, meV per atom: -2561
Crystal system: trigonal

```
AcZn2AgF8
1.0
6.0822 0.0000 0.0000
-3.0411 5.2673 0.0000
0.0000 0.0000 7.5630
Ac Zn Ag F
1 2 1 8
direct
0.0000 0.0000 0.0000 Ac
0.3333 0.6667 0.1933 Zn
0.6667 0.3333 0.8067 Zn
0.0000 0.0000 0.5000 Ag
0.1546 0.3091 0.2489 F
0.1546 0.8454 0.2489 F
0.3091 0.1546 0.7511 F
0.3333 0.6667 0.9414 F
0.6667 0.3333 0.0586 F
0.6909 0.8454 0.2489 F
0.8454 0.1546 0.7511 F
0.8454 0.6909 0.7511 F
```

# 2
The following is a PBE-GGA calculation of an optimized crystal structure of Ac4FeAg2, from Alexandria via LeMat-Bulk.

Formation energy from the elements, eV/atom: 0.03
Symmetry: I4/mmm, No. 139
Crystal system: tetragonal

```
Ac4FeAg2
1.0
-2.6758 2.6758 8.2685
2.6758 -2.6758 8.2685
2.6758 2.6758 -8.2685
Ac Fe Ag
4 1 2
direct
0.0000 0.5000 0.5000 Ac
0.1780 0.1780 0.0000 Ac
0.5000 0.0000 0.5000 Ac
0.8220 0.8220 0.0000 Ac
0.0000 0.0000 0.0000 Fe
0.3700 0.3700 0.0000 Ag
0.6300 0.6300 0.0000 Ag
```

# 3
The following is a PBE-GGA calculation of an optimized crystal structure of Ac6FeAg2, from Alexandria via LeMat-Bulk.

Formation energy from the elements, eV/atom: -0.05
Symmetry: P2_1/c, No. 14
Crystal system: monoclinic

```
Ac6FeAg2
1.0
7.3513 0.0000 0.0000
0.0000 8.0275 0.0000
-6.9530 0.0000 11.0394
Ac Fe Ag
12 2 4
direct
0.1196 0.0269 0.2462 Ac
0.1196 0.4731 0.7462 Ac
0.2315 0.6964 0.0579 Ac
0.2315 0.8036 0.5579 Ac
0.3681 0.1866 0.0556 Ac
0.3681 0.3134 0.5556 Ac
0.6319 0.6866 0.4444 Ac
0.6319 0.8134 0.9444 Ac
0.7685 0.1964 0.4421 Ac
0.7685 0.3036 0.9421 Ac
0.8804 0.5269 0.2538 Ac
0.8804 0.9731 0.7538 Ac
0.0000 0.0000 0.0000 Fe
0.0000 0.5000 0.5000 Fe
0.3115 0.1003 0.7581 Ag
0.3115 0.3997 0.2581 Ag
0.6885 0.6003 0.7419 Ag
0.6885 0.8997 0.2419 Ag
```